[1]
The following is a DFT calculation (GGA-PBE) of crystalline NaCd2Rh at its relaxed geometry.

```
NaCd2Rh
1.0
5.7310 -1.9271 -3.5399
-2.2192 5.6243 3.5399
-4.2806 0.5495 5.5193
Na Cd Rh
1 2 1
direct
0.0000 0.0000 0.0000
0.0000 0.2905 0.2905
0.0000 0.7095 0.7095
0.0000 0.5000 0.5000
```

Output
SG: Immm (71)
D(E_F) in states/eV/cell: 2.92

[2]
The following is a DFT calculation (GGA-PBE) of crystalline NaCd3Rh2 at its relaxed geometry.

```
NaCd3Rh2
1.0
-0.6019 3.3795 -0.1642
-2.2138 -0.7195 -6.6923
-4.6223 -0.5637 5.3406
Na Cd Rh
1 3 2
direct
0.5000 0.5000 0.0000
0.5000 0.0000 0.5000
0.5000 0.5000 0.5000
0.5000 0.0000 0.0000
0.0000 0.1667 0.3333
0.0000 0.8333 0.6667
```

Output
SG: P6/mmm (191)
D(E_F) in states/eV/cell: 2.51

[3]
The following is a DFT calculation (GGA-PBE) of crystalline NaCd3Rh at its relaxed geometry.

```
NaCd3Rh
1.0
5.2041 0.0000 0.0000
0.0000 5.2041 0.0000
0.0000 0.0000 5.2041
Na Rh Cd
1 1 3
direct
0.5000 0.5000 0.5000
0.0000 0.0000 0.0000
0.0000 0.5000 0.0000
0.0000 0.0000 0.5000
0.5000 0.0000 0.0000
```

Output
E above lowest polymorph in eV per formula unit: 0.25
SG: Pm-3m (221)
D(E_F) in states/eV/cell: 1.63

[4]
The following is a DFT calculation (GGA-PBE) of crystalline NaCd2Rh at its relaxed geometry.

```
NaCd2Rh
1.0
-3.9824 1.3422 -2.2116
-4.0599 -2.3311 0.7972
-3.4919 2.0833 2.4535
Na Rh Cd
1 1 2
direct
0.7500 0.7500 0.7500
0.2500 0.2500 0.2500
0.5000 0.5000 0.5000
0.0000 0.0000 0.0000
```

Output
SG: Fm-3m (225)
D(E_F) in states/eV/cell: 1.57

[5]
The following is a DFT calculation (GGA-PBE) of crystalline Na12Cd6Rh at its relaxed geometry.

```
Na12Cd6Rh
1.0
8.0211 0.6006 -0.3064
-0.3403 8.0363 -0.3064
0.5341 0.6006 8.0091
Na Cd Rh
12 6 1
direct
0.4751 0.1900 0.5716
0.1900 0.5716 0.4751
0.5716 0.4751 0.1900
0.5249 0.8100 0.4284
0.8100 0.4284 0.5249
0.4284 0.5249 0.8100
0.8559 0.9642 0.6313
0.3687 0.1441 0.0358
0.0358 0.3687 0.1441
0.1441 0.0358 0.3687
0.6313 0.8559 0.9642
0.9642 0.6313 0.8559
0.1027 0.2462 0.7539
0.7538 0.2461 0.8973
0.2461 0.8973 0.7538
0.8973 0.7538 0.2461
0.2462 0.7539 0.1027
0.7539 0.1027 0.2462
0.0000 0.0000 0.0000
```

Output
SG: R-3 (148)
D(E_F) in states/eV/cell: 6.85

[6]
The following is a DFT calculation (GGA-PBE) of crystalline Na6Cd12Rh at its relaxed geometry.

```
Na6Cd12Rh
1.0
7.7255 0.0881 -0.7780
-0.8690 7.6769 -0.7780
0.0778 0.0881 7.7642
Na Cd Rh
6 12 1
direct
0.1182 0.2828 0.7436
0.7172 0.2564 0.8818
0.2564 0.8818 0.7172
0.8818 0.7172 0.2564
0.2828 0.7436 0.1182
0.7436 0.1182 0.2828
0.4616 0.2098 0.5279
0.2098 0.5279 0.4616
0.5279 0.4616 0.2098
0.5384 0.7902 0.4721
0.7902 0.4721 0.5384
0.4721 0.5384 0.7902
0.8730 0.9450 0.6461
0.3539 0.1270 0.0550
0.0550 0.3539 0.1270
0.1270 0.0550 0.3539
0.6461 0.8730 0.9450
0.9450 0.6461 0.8730
0.0000 0.0000 0.0000
```

Output
SG: R-3 (148)
D(E_F) in states/eV/cell: 10.51

[7]
The following is a DFT calculation (GGA-PBE) of crystalline Na2Cd2Rh at its relaxed geometry.

```
Na2Cd2Rh
1.0
7.1030 0.0000 0.0000
0.0000 7.1030 0.0000
0.0000 0.0000 4.1999
Na Rh Cd
4 2 4
direct
0.3691 0.8691 0.0000
0.8691 0.6309 0.0000
0.6309 0.1309 0.0000
0.1309 0.3691 0.0000
0.0000 0.0000 0.0000
0.5000 0.5000 0.0000
0.1827 0.6827 0.5000
0.6827 0.8173 0.5000
0.8173 0.3173 0.5000
0.3173 0.1827 0.5000
```

Output
E above lowest polymorph in eV per formula unit: 2.14
SG: P4/mbm (127)
D(E_F) in states/eV/cell: 7.60

[8]
The following is a DFT calculation (GGA-PBE) of crystalline Na2Cd8Rh at its relaxed geometry.

```
Na2Cd8Rh
1.0
4.6762 0.0000 -1.3387
0.0275 5.8306 0.0960
0.0661 0.7153 9.0673
Na Cd Rh
2 8 1
direct
0.8430 0.8430 0.6860
0.1570 0.1570 0.3140
0.4228 0.6150 0.8456
0.6522 0.8178 0.3044
0.7567 0.3460 0.5134
0.0354 0.7503 0.0708
0.2433 0.6540 0.4866
0.3478 0.1822 0.6956
0.5772 0.3850 0.1544
0.9646 0.2497 0.9292
0.5000 0.0000 0.0000
```

Output
SG: C2/m (12)
D(E_F) in states/eV/cell: 3.95

[9]
The following is a DFT calculation (GGA-PBE) of crystalline Na3Cd9Rh2 at its relaxed geometry.

```
Na3Cd9Rh2
1.0
-3.4974 2.1507 -2.0496
-6.9557 -4.8315 1.6620
-3.7152 4.7432 6.1795
Na Cd Rh
3 9 2
direct
0.0000 0.0000 0.0000
0.7009 0.2991 0.2991
0.2991 0.7009 0.7009
0.0000 0.5000 0.5000
0.6328 0.9977 0.7368
0.3672 0.0023 0.2632
0.6328 0.7368 0.9977
0.3672 0.2632 0.0023
0.8668 0.8457 0.4207
0.1332 0.1543 0.5793
0.8668 0.4207 0.8457
0.1332 0.5793 0.1543
0.5000 0.3364 0.6636
0.5000 0.6636 0.3364
```

Output
SG: Immm (71)
D(E_F) in states/eV/cell: 6.49

[10]
The following is a DFT calculation (GGA-PBE) of crystalline NaCd3Rh at its relaxed geometry.

```
NaCd3Rh
1.0
3.0021 -0.0003 -0.7651
-0.7747 5.1489 -2.9719
0.1857 0.5529 6.9528
Na Cd Rh
1 3 1
direct
0.5936 0.6645 0.9437
0.3168 0.6373 0.3898
0.9948 0.0665 0.7478
0.3136 0.1379 0.3902
0.6776 0.2494 0.1142
```

Output
E above lowest polymorph in eV per formula unit: 0.00
SG: C2 (5)
D(E_F) in states/eV/cell: 1.74

[11]
The following is a DFT calculation (GGA-PBE) of crystalline NaCd8Rh2 at its relaxed geometry.

```
NaCd8Rh2
1.0
5.2632 -0.0464 -0.0697
-0.9322 7.1121 0.1989
-0.9322 -2.5556 6.6401
Na Cd Rh
1 8 2
direct
0.5000 0.0000 0.0000
0.8851 0.9313 0.6713
0.8851 0.6713 0.9313
0.3116 0.6279 0.6279
0.5000 0.7321 0.2679
0.5000 0.2679 0.7321
0.6884 0.3721 0.3721
0.1149 0.3287 0.0687
0.1149 0.0687 0.3287
0.0000 0.3175 0.6825
0.0000 0.6825 0.3175
```

Output
SG: C2/m (12)
D(E_F) in states/eV/cell: 4.44

[12]
The following is a DFT calculation (GGA-PBE) of crystalline NaCd2Rh at its relaxed geometry.

```
NaCd2Rh
1.0
-1.4995 2.4760 -1.5908
-1.0204 -2.9367 -3.6089
-4.1197 -1.1469 2.0981
Na Rh Cd
1 1 2
direct
0.5000 0.0000 0.0000
0.5000 0.5000 0.5000
0.0000 0.0000 0.5000
0.0000 0.5000 0.0000
```

Output
SG: P4/mmm (123)
D(E_F) in states/eV/cell: 1.61

Formation enthalpy at 0 K readings, ordered: 0.2765, 0.1032, -0.0112, -0.0662, -0.0584, -0.0550, 0.3689, -0.0723, -0.0630, -0.0604, -0.0239, -0.0454 eV/atom